Record 1
! Na2SnHg5Pb (PBE, optimized geometry); values from VASP
! Formation energy ... -0.613 kcal/mol of atoms
! DOS at the Fermi energy ... 8.18 states/eV per cell
&SYSTEM
  ibrav = 0, nat = 18, ntyp = 4
/
ATOMIC_SPECIES
Na 22.99 Na.upf
Sn 118.71 Sn.upf
Hg 200.59 Hg.upf
Pb 207.20 Pb.upf
CELL_PARAMETERS angstrom
-4.495 4.495 6.199
4.495 -4.495 6.199
4.495 4.495 -6.199
ATOMIC_POSITIONS crystal
Na 0.115 0.615 0.730
Na 0.385 0.115 0.500
Na 0.615 0.885 0.500
Na 0.885 0.385 0.270
Sn 0.250 0.750 0.500
Sn 0.750 0.250 0.500
Hg 0.000 0.000 0.000
Hg 0.063 0.171 0.500
Hg 0.171 0.671 0.107
Hg 0.329 0.437 0.500
Hg 0.437 0.937 0.107
Hg 0.500 0.500 0.000
Hg 0.563 0.063 0.893
Hg 0.671 0.563 0.500
Hg 0.829 0.329 0.893
Hg 0.937 0.829 0.500
Pb 0.250 0.250 0.000
Pb 0.750 0.750 0.000



Record 2
! NaSr2Hg4Pb (PBE, optimized geometry); values from VASP
! Formation energy ... -9.400 kcal/mol of atoms
! DOS at the Fermi energy ... 5.13 states/eV per cell
&SYSTEM
  ibrav = 0, nat = 8, ntyp = 4
/
ATOMIC_SPECIES
Na 22.99 Na.upf
Sr 87.62 Sr.upf
Hg 200.59 Hg.upf
Pb 207.20 Pb.upf
CELL_PARAMETERS angstrom
2.727 1.574 9.029
-2.727 1.574 9.029
0.000 -3.149 9.029
ATOMIC_POSITIONS crystal
Na 0.000 0.000 0.000
Sr 0.245 0.245 0.245
Sr 0.755 0.755 0.755
Hg 0.118 0.118 0.118
Hg 0.369 0.369 0.369
Hg 0.631 0.631 0.631
Hg 0.882 0.882 0.882
Pb 0.500 0.500 0.500



Record 3
! NaSrHg2Pb2 (PBE, optimized geometry); values from VASP
! Formation energy ... -6.478 kcal/mol of atoms
! DOS at the Fermi energy ... 3.21 states/eV per cell
&SYSTEM
  ibrav = 0, nat = 6, ntyp = 4
/
ATOMIC_SPECIES
Na 22.99 Na.upf
Sr 87.62 Sr.upf
Hg 200.59 Hg.upf
Pb 207.20 Pb.upf
CELL_PARAMETERS angstrom
5.162 0.000 0.000
-2.581 4.470 0.000
0.000 0.000 7.714
ATOMIC_POSITIONS crystal
Na 0.000 0.000 0.000
Sr 0.000 0.000 0.500
Hg 0.333 0.667 0.727
Hg 0.667 0.333 0.273
Pb 0.333 0.667 0.197
Pb 0.667 0.333 0.803



Record 4
! NaSrHgPb (PBE, optimized geometry); values from VASP
! Formation energy ... -8.231 kcal/mol of atoms
! DOS at the Fermi energy ... 3.94 states/eV per cell
&SYSTEM
  ibrav = 0, nat = 4, ntyp = 4
/
ATOMIC_SPECIES
Na 22.99 Na.upf
Sr 87.62 Sr.upf
Hg 200.59 Hg.upf
Pb 207.20 Pb.upf
CELL_PARAMETERS angstrom
0.000 3.929 3.929
3.929 0.000 3.929
3.929 3.929 0.000
ATOMIC_POSITIONS crystal
Na 0.000 0.000 0.000
Sr 0.500 0.500 0.500
Hg 0.750 0.750 0.750
Pb 0.250 0.250 0.250



Record 5
! NaTbHgPb (PBE, optimized geometry); values from VASP
! Formation energy ... -8.517 kcal/mol of atoms
! DOS at the Fermi energy ... 1.42 states/eV per cell
&SYSTEM
  ibrav = 0, nat = 4, ntyp = 4
/
ATOMIC_SPECIES
Na 22.99 Na.upf
Tb 158.93 Tb.upf
Hg 200.59 Hg.upf
Pb 207.20 Pb.upf
CELL_PARAMETERS angstrom
0.000 3.763 3.763
3.763 0.000 3.763
3.763 3.763 0.000
ATOMIC_POSITIONS crystal
Na 0.000 0.000 0.000
Tb 0.500 0.500 0.500
Hg 0.750 0.750 0.750
Pb 0.250 0.250 0.250



Record 6
! NaHgTe2Pb (PBE, optimized geometry); values from VASP
! ΔE_f (raw) ... -1.4 eV/f.u.
! DOS at the Fermi energy ... 3.57 states/eV per cell
&SYSTEM
  ibrav = 0, nat = 10, ntyp = 4
/
ATOMIC_SPECIES
Na 22.99 Na.upf
Hg 200.59 Hg.upf
Te 127.60 Te.upf
Pb 207.20 Pb.upf
CELL_PARAMETERS angstrom
8.087 0.000 0.000
0.000 6.039 0.000
-1.179 0.000 6.723
ATOMIC_POSITIONS crystal
Na 0.000 0.237 0.250
Na 0.000 0.763 0.750
Hg 0.500 0.000 0.000
Hg 0.500 0.000 0.500
Te 0.179 0.261 0.858
Te 0.179 0.739 0.358
Te 0.821 0.261 0.642
Te 0.821 0.739 0.142
Pb 0.500 0.475 0.250
Pb 0.500 0.525 0.750



Record 7
! Na2Tl2Hg2Pb (PBE, optimized geometry); values from VASP
! Formation energy ... -2.116 kcal/mol of atoms
! DOS at the Fermi energy ... 3.61 states/eV per cell
&SYSTEM
  ibrav = 0, nat = 7, ntyp = 4
/
ATOMIC_SPECIES
Na 22.99 Na.upf
Tl 204.38 Tl.upf
Hg 200.59 Hg.upf
Pb 207.20 Pb.upf
CELL_PARAMETERS angstrom
2.734 1.579 7.774
-2.734 1.579 7.774
0.000 -3.157 7.774
ATOMIC_POSITIONS crystal
Na 0.137 0.137 0.137
Na 0.863 0.863 0.863
Tl 0.412 0.412 0.412
Tl 0.588 0.588 0.588
Hg 0.270 0.270 0.270
Hg 0.730 0.730 0.730
Pb 0.000 0.000 0.000



Record 8
! Na3TlHgPb (PBE, optimized geometry); values from VASP
! Formation energy ... -3.573 kcal/mol of atoms
! DOS at the Fermi energy ... 4.35 states/eV per cell
&SYSTEM
  ibrav = 0, nat = 12, ntyp = 4
/
ATOMIC_SPECIES
Na 22.99 Na.upf
Tl 204.38 Tl.upf
Hg 200.59 Hg.upf
Pb 207.20 Pb.upf
CELL_PARAMETERS angstrom
6.743 0.000 0.000
0.000 5.224 0.000
-2.598 0.000 9.608
ATOMIC_POSITIONS crystal
Na 0.121 0.250 0.303
Na 0.141 0.250 0.957
Na 0.349 0.750 0.548
Na 0.651 0.250 0.452
Na 0.859 0.750 0.043
Na 0.879 0.750 0.697
Tl 0.363 0.750 0.872
Tl 0.637 0.250 0.128
Hg 0.122 0.250 0.624
Hg 0.878 0.750 0.376
Pb 0.379 0.750 0.212
Pb 0.621 0.250 0.788



Record 9
! NaTl2HgPb (PBE, optimized geometry); values from VASP
! Formation energy ... -0.400 kcal/mol of atoms
! DOS at the Fermi energy ... 4.96 states/eV per cell
&SYSTEM
  ibrav = 0, nat = 10, ntyp = 4
/
ATOMIC_SPECIES
Na 22.99 Na.upf
Tl 204.38 Tl.upf
Hg 200.59 Hg.upf
Pb 207.20 Pb.upf
CELL_PARAMETERS angstrom
1.850 -7.961 0.000
1.850 7.961 0.000
0.000 0.000 10.282
ATOMIC_POSITIONS crystal
Na 0.148 0.852 0.750
Na 0.852 0.148 0.250
Tl 0.191 0.809 0.095
Tl 0.191 0.809 0.405
Tl 0.809 0.191 0.595
Tl 0.809 0.191 0.905
Hg 0.471 0.529 0.750
Hg 0.529 0.471 0.250
Pb 0.000 0.000 0.000
Pb 0.000 0.000 0.500



Record 10
! NaTl4Hg2Pb (PBE, optimized geometry); values from VASP
! Formation energy ... 0.444 kcal/mol of atoms
! DOS at the Fermi energy ... 4.56 states/eV per cell
&SYSTEM
  ibrav = 0, nat = 8, ntyp = 4
/
ATOMIC_SPECIES
Na 22.99 Na.upf
Tl 204.38 Tl.upf
Hg 200.59 Hg.upf
Pb 207.20 Pb.upf
CELL_PARAMETERS angstrom
5.185 0.000 0.000
0.000 5.185 0.000
0.000 0.000 10.161
ATOMIC_POSITIONS crystal
Na 0.000 0.000 0.000
Tl 0.000 0.500 0.309
Tl 0.000 0.500 0.691
Tl 0.500 0.000 0.309
Tl 0.500 0.000 0.691
Hg 0.500 0.500 0.139
Hg 0.500 0.500 0.861
Pb 0.000 0.000 0.500



Record 11
! NaTl2Hg2Pb2 (PBE, optimized geometry); values from VASP
! Formation energy ... 2.849 kcal/mol of atoms
! DOS at the Fermi energy ... 2.97 states/eV per cell
&SYSTEM
  ibrav = 0, nat = 7, ntyp = 4
/
ATOMIC_SPECIES
Na 22.99 Na.upf
Tl 204.38 Tl.upf
Hg 200.59 Hg.upf
Pb 207.20 Pb.upf
CELL_PARAMETERS angstrom
4.998 0.000 0.000
-2.499 4.328 0.000
0.000 0.000 12.691
ATOMIC_POSITIONS crystal
Na 0.000 0.000 0.000
Tl 0.000 0.000 0.240
Tl 0.000 0.000 0.760
Hg 0.333 0.667 0.675
Hg 0.667 0.333 0.325
Pb 0.333 0.667 0.409
Pb 0.667 0.333 0.591



Record 12
! NaTl3HgPb (PBE, optimized geometry); values from VASP
! Formation energy ... -1.161 kcal/mol of atoms
! DOS at the Fermi energy ... 5.75 states/eV per cell
&SYSTEM
  ibrav = 0, nat = 12, ntyp = 4
/
ATOMIC_SPECIES
Na 22.99 Na.upf
Tl 204.38 Tl.upf
Hg 200.59 Hg.upf
Pb 207.20 Pb.upf
CELL_PARAMETERS angstrom
8.919 0.000 0.000
0.000 3.678 0.000
-4.346 0.000 10.851
ATOMIC_POSITIONS crystal
Na 0.000 0.250 0.141
Na 0.000 0.750 0.859
Tl 0.327 0.250 0.414
Tl 0.330 0.250 0.918
Tl 0.332 0.750 0.670
Tl 0.668 0.250 0.330
Tl 0.670 0.750 0.082
Tl 0.673 0.750 0.586
Hg 0.002 0.750 0.380
Hg 0.998 0.250 0.620
Pb 0.333 0.750 0.159
Pb 0.667 0.250 0.841